1.
Compound: Cs3NdNp2O9
Source: the Alexandria database
Functional: PBE-GGA
Structure: optimized geometry Values from VASP.

```
&SYSTEM
  ibrav = 0, nat = 15, ntyp = 4
/
ATOMIC_SPECIES
Cs 132.91 Cs.upf
Nd 144.24 Nd.upf
Np 237.00 Np.upf
O 16.00 O.upf
CELL_PARAMETERS angstrom
6.2908 0.0000 0.0000
-3.1454 5.4480 0.0000
0.0000 0.0000 7.7050
ATOMIC_POSITIONS crystal
Cs 0.0000 0.0000 0.0000
Cs 0.3333 0.6667 0.6635
Cs 0.6667 0.3333 0.3365
Nd 0.0000 0.0000 0.5000
Np 0.3333 0.6667 0.1607
Np 0.6667 0.3333 0.8393
O 0.0000 0.5000 0.0000
O 0.1807 0.3614 0.3142
O 0.1807 0.8193 0.3142
O 0.3614 0.1807 0.6858
O 0.5000 0.0000 0.0000
O 0.5000 0.5000 0.0000
O 0.6386 0.8193 0.3142
O 0.8193 0.1807 0.6858
O 0.8193 0.6386 0.6858
```

Calculated values
Uncorrected formation energy, meV/atom: -2603
Electronic total energy, eV for the cell shown: -116.88
Space-group type: No. 164
Crystal system: trigonal

***

2.
Compound: CaHoP2O8
Source: the Alexandria database
Functional: PBE-GGA
Structure: optimized geometry Values from VASP.

```
&SYSTEM
  ibrav = 0, nat = 12, ntyp = 4
/
ATOMIC_SPECIES
Ca 40.08 Ca.upf
Ho 164.93 Ho.upf
P 30.97 P.upf
O 16.00 O.upf
CELL_PARAMETERS angstrom
5.3549 0.0000 0.0000
-2.6774 4.6375 0.0000
0.0000 0.0000 7.0097
ATOMIC_POSITIONS crystal
Ca 0.0000 0.0000 0.0000
Ho 0.0000 0.0000 0.5000
P 0.3333 0.6667 0.7885
P 0.6667 0.3333 0.2115
O 0.1755 0.3511 0.7166
O 0.1755 0.8245 0.7166
O 0.3333 0.6667 0.0088
O 0.3511 0.1755 0.2834
O 0.6489 0.8245 0.7166
O 0.6667 0.3333 0.9912
O 0.8245 0.1755 0.2834
O 0.8245 0.6489 0.2834
```

Calculated values
Uncorrected formation energy, meV/atom: -2631
Electronic total energy, eV for the cell shown: -88.64
Space-group type: No. 164
Crystal system: trigonal

***

3.
Compound: PmFe4Cu
Source: the Alexandria database
Functional: PBE-GGA
Structure: optimized geometry Values from VASP.

```
&SYSTEM
  ibrav = 0, nat = 6, ntyp = 3
/
ATOMIC_SPECIES
Pm 145.00 Pm.upf
Fe 55.84 Fe.upf
Cu 63.55 Cu.upf
CELL_PARAMETERS angstrom
0.0000 3.5470 3.5470
3.5470 0.0000 3.5470
3.5470 3.5470 0.0000
ATOMIC_POSITIONS crystal
Pm 0.0000 0.0000 0.0000
Fe 0.1287 0.6238 0.6238
Fe 0.6238 0.1287 0.6238
Fe 0.6238 0.6238 0.1287
Fe 0.6238 0.6238 0.6238
Cu 0.2500 0.2500 0.2500
```

Calculated values
Formation energy from the elements, kJ/mol of formula units: 76.9
Electronic total energy, eV for the cell shown: -41.90
Space-group type: No. 216
Crystal system: cubic

***

4.
Compound: Mg2TaFe
Source: the Alexandria database
Functional: PBE-GGA
Structure: optimized geometry Values from VASP.

```
&SYSTEM
  ibrav = 0, nat = 4, ntyp = 3
/
ATOMIC_SPECIES
Mg 24.30 Mg.upf
Ta 180.95 Ta.upf
Fe 55.84 Fe.upf
CELL_PARAMETERS angstrom
2.7147 -4.6306 0.0000
2.7147 4.6306 0.0000
0.0000 0.0000 2.7366
ATOMIC_POSITIONS crystal
Mg 0.0000 0.5000 0.0000
Mg 0.5000 0.0000 0.0000
Ta 0.0000 0.0000 0.5000
Fe 0.5000 0.5000 0.5000
```

Calculated values
Formation energy from the elements, kJ/mol of formula units: 148.1
ΔE to the lowest computed polymorph, meV per atom: 294
Electronic total energy, eV for the cell shown: -21.97
Space-group type: No. 65
Crystal system: orthorhombic